First-principles (GGA-PBE) data for crystalline MgCd2W2 at its relaxed geometry, as listed in the Alexandria database.

Results
* Fermi-level density of states: 2.39 states/eV/f.u.
* DFT total energy: -24.213 eV per formula unit
* crystal system: tetragonal

abc: 7.213 7.213 7.213
angles: 148.04 148.04 45.83
Fractional coordinates of all 5 atoms:
W: 0.413 0.413 0.000
W: 0.587 0.587 0.000
Cd: 0.250 0.750 0.500
Cd: 0.750 0.250 0.500
Mg: 0.000 0.000 0.000